Record 1
Sm5Sc | GGA-PBE | optimized geometry

Structure (POSCAR):
```
Sm5Sc
1.0
-3.235 0.805 -3.784
-3.857 -1.081 3.068
1.446 7.836 0.431
Sm Sc
5 1
direct
0.500 0.836 0.671
0.500 0.164 0.329
0.000 0.664 0.327
0.000 0.336 0.673
0.500 0.500 0.000
0.000 0.000 0.000
```

Volume, Å³ per atom: 32.1
Total moment, μB per formula unit: 0.00
DOS(E_F), states/eV per atom: 1.4578
Formation energy, eV/atom: 0.03



Record 2
Ga6TcOs | GGA-PBE | optimized geometry

Structure (POSCAR):
```
Ga6TcOs
1.0
-5.283 0.894 -0.484
1.556 -1.323 -4.977
0.291 -4.629 2.726
Os Ga Tc
1 6 1
direct
0.500 0.500 0.500
0.783 0.314 0.783
0.783 0.783 0.314
0.217 0.217 0.686
0.217 0.686 0.217
0.686 0.217 0.217
0.314 0.783 0.783
0.000 0.000 0.000
```

Volume, Å³ per atom: 17.4
Total moment, μB per formula unit: 0.00
DOS(E_F), states/eV per atom: 0.0792
Formation energy, eV/atom: 0.00



Record 3
CaCe2Tl3 | GGA-PBE | optimized geometry

Structure (POSCAR):
```
CaCe2Tl3
1.0
-2.504 -2.171 -1.255
-1.193 -0.528 3.295
-8.541 10.649 -1.386
Tl Ce Ca
3 2 1
direct
0.000 0.000 0.335
0.000 0.000 0.000
0.000 0.000 0.665
0.500 0.500 0.832
0.500 0.500 0.168
0.500 0.500 0.500
```

Volume, Å³ per atom: 28.7
Total moment, μB per formula unit: 2.47
DOS(E_F), states/eV per atom: 2.3824
Formation energy, eV/atom: -0.29



Among the records above, which one has the lowest formation energy? CaCe2Tl3



The lowest formation energy belongs to which entry? CaCe2Tl3



Which value of total moment does entry 1 give? 0.00 μB per formula unit